No. 1
A plane-wave DFT calculation with PBE-GGA was carried out for a relaxed structure of CrSnS2.

```
data_CrSnS2
_chemical_formula_sum 'Cr2 Sn2 S4'
_symmetry_space_group_name_H-M 'P 1 m 1'
_symmetry_Int_Tables_number 6
_symmetry_space_group_name_Hall 'P -2y'
_cell_length_a 5.941
_cell_length_b 3.464
_cell_length_c 8.321
_cell_angle_alpha 90.00
_cell_angle_beta 90.66
_cell_angle_gamma 90.00
loop_
_atom_site_label
_atom_site_fract_x
_atom_site_fract_y
_atom_site_fract_z
_atom_site_occupancy
Cr1 0.000 0.000 0.000 1
Cr2 0.370 0.500 0.975 1
Sn1 0.465 0.000 0.405 1
Sn2 0.752 0.500 0.798 1
S1 0.093 0.500 0.163 1
S2 0.263 0.000 0.803 1
S3 0.608 0.000 0.100 1
S4 0.768 0.500 0.495 1
```

Total moment in μB per atom: 0.09

=====

No. 2
A plane-wave DFT calculation with PBE-GGA was carried out for a relaxed structure of CrSnS2.

```
data_CrSnS2
_chemical_formula_sum 'Cr4 Sn4 S8'
_symmetry_space_group_name_H-M 'I 41/a m d'
_symmetry_Int_Tables_number 141
_cell_length_a 5.532
_cell_length_b 5.532
_cell_length_c 10.752
_cell_angle_alpha 90.00
_cell_angle_beta 90.00
_cell_angle_gamma 90.00
loop_
_symmetry_equiv_pos_as_xyz
'x,y,z'
'-x,-y,-z'
'-y+1/4,x+3/4,z+1/4'
'y+1/4,-x+3/4,-z+1/4'
'-x+1/2,-y,z+1/2'
'x+1/2,y,-z+1/2'
'y+1/4,-x+1/4,z+3/4'
'-y+1/4,x+1/4,-z+3/4'
'x,-y,-z'
'-x,y,z'
'-y+1/4,-x+1/4,-z+3/4'
'y+1/4,x+1/4,z+3/4'
'-x+1/2,y,-z+1/2'
'x+1/2,-y,z+1/2'
'y+1/4,x+3/4,-z+1/4'
'-y+1/4,-x+3/4,z+1/4'
'x+1/2,y+1/2,z+1/2'
'-x+1/2,-y+1/2,-z+1/2'
'-y+3/4,x+1/4,z+3/4'
'y+3/4,-x+1/4,-z+3/4'
'-x,-y+1/2,z'
'x,y+1/2,-z'
'y+3/4,-x+3/4,z+1/4'
'-y+3/4,x+3/4,-z+1/4'
'x+1/2,-y+1/2,-z+1/2'
'-x+1/2,y+1/2,z+1/2'
'-y+3/4,-x+3/4,-z+1/4'
'y+3/4,x+3/4,z+1/4'
'-x,y+1/2,-z'
'x,-y+1/2,z'
'y+3/4,x+1/4,-z+3/4'
'-y+3/4,-x+1/4,z+3/4'
loop_
_atom_site_label
_atom_site_fract_x
_atom_site_fract_y
_atom_site_fract_z
_atom_site_occupancy
Cr1 0.000 0.250 0.375 1
Sn1 0.000 0.250 0.875 1
S1 0.000 0.250 0.144 1
```

Total moment in μB per atom: 1.00

=====

No. 3
A plane-wave DFT calculation with PBE-GGA was carried out for a relaxed structure of CrSnS2.

```
data_CrSnS2
_chemical_formula_sum 'Cr16 Sn16 S32'
_symmetry_space_group_name_H-M 'C 1 2/c 1'
_symmetry_Int_Tables_number 15
_symmetry_space_group_name_Hall '-C 2yc'
_cell_length_a 10.351
_cell_length_b 10.396
_cell_length_c 13.737
_cell_angle_alpha 90.00
_cell_angle_beta 96.33
_cell_angle_gamma 90.00
loop_
_atom_site_label
_atom_site_fract_x
_atom_site_fract_y
_atom_site_fract_z
_atom_site_occupancy
Cr1 0.100 0.237 0.170 1
Cr2 0.118 0.454 0.337 1
Sn1 0.088 0.203 0.895 1
Sn2 0.228 0.120 0.379 1
S1 0.000 0.071 0.250 1
S2 0.000 0.391 0.750 1
S3 0.072 0.295 0.454 1
S4 0.228 0.174 0.725 1
S5 0.240 0.111 0.078 1
```

Total moment in μB per atom: 0.88

=====

No. 4
A plane-wave DFT calculation with PBE-GGA was carried out for a relaxed structure of CrSnS2.

```
data_CrSnS2
_chemical_formula_sum 'Cr4 Sn4 S8'
_symmetry_space_group_name_H-M 'C 1 2/c 1'
_symmetry_Int_Tables_number 15
_symmetry_space_group_name_Hall '-C 2yc'
_cell_length_a 5.988
_cell_length_b 3.515
_cell_length_c 15.997
_cell_angle_alpha 90.00
_cell_angle_beta 100.28
_cell_angle_gamma 90.00
loop_
_atom_site_label
_atom_site_fract_x
_atom_site_fract_y
_atom_site_fract_z
_atom_site_occupancy
Cr1 0.000 0.000 0.000 1
Sn1 0.000 0.367 0.250 1
S1 0.126 0.498 0.920 1
```

Total moment in μB per atom: 0.72

=====

No. 5
A plane-wave DFT calculation with PBE-GGA was carried out for a relaxed structure of CrSnS2.

```
data_CrSnS2
_chemical_formula_sum 'Cr4 Sn4 S8'
_symmetry_space_group_name_H-M 'C m c m'
_symmetry_Int_Tables_number 63
_symmetry_space_group_name_Hall '-C 2c 2'
_cell_length_a 3.931
_cell_length_b 20.048
_cell_length_c 4.651
_cell_angle_alpha 90.00
_cell_angle_beta 90.00
_cell_angle_gamma 90.00
loop_
_atom_site_label
_atom_site_fract_x
_atom_site_fract_y
_atom_site_fract_z
_atom_site_occupancy
Cr1 0.000 0.064 0.250 1
Sn1 0.000 0.327 0.250 1
S1 0.000 0.055 0.750 1
S2 0.000 0.184 0.250 1
```

Total moment in μB per atom: 1.00

=====

No. 6
A plane-wave DFT calculation with PBE-GGA was carried out for a relaxed structure of CrSnS2.

```
data_CrSnS2
_chemical_formula_sum 'Cr1 Sn1 S2'
_symmetry_space_group_name_H-M 'P 4/m m m'
_symmetry_Int_Tables_number 123
_symmetry_space_group_name_Hall '-P 4 2'
_cell_length_a 4.641
_cell_length_b 4.641
_cell_length_c 3.171
_cell_angle_alpha 90.00
_cell_angle_beta 90.00
_cell_angle_gamma 90.00
loop_
_atom_site_label
_atom_site_fract_x
_atom_site_fract_y
_atom_site_fract_z
_atom_site_occupancy
Cr1 0.000 0.000 0.000 1
Sn1 0.500 0.500 0.000 1
S1 0.000 0.500 0.500 1
```

Total moment in μB per atom: 0.09

=====

Calculated formation energy without anion corrections (meV/atom), listed in the same order as above: -444; -321; -316; -516; -273; 472